Computed, not measured: a relaxed TlFeSe2 crystal at the GGA-PBE level of DFT.

Values from the calculation:
The calculation puts the uncorrected formation energy at 0.143 eV/atom. As for the symmetry: R3m (160).

Cell: 8.442 8.442 8.442 Å, 24.29 24.29 24.29°
Positions (direct):
Fe  0.741  0.741  0.741
Se  0.032  0.032  0.032
Se  0.236  0.236  0.236
Tl  0.491  0.491  0.491


Computed, not measured: a relaxed TlFe2Se crystal at the GGA-PBE level of DFT.

Values from the calculation:
The calculation puts the uncorrected formation energy at 0.569 eV/atom. As for the symmetry: Pmmm (47). The value obtained for the distance to the lowest polymorph of the same formula is 390 meV/atom.

Cell: 3.586 5.088 3.958 Å, 90.00 90.00 90.00°
Positions (direct):
Fe  0.000  0.000  0.000
Fe  0.500  0.500  0.000
Se  0.500  0.000  0.500
Tl  0.000  0.500  0.500


Computed, not measured: a relaxed TlFeSe2 crystal at the GGA-PBE level of DFT.

Values from the calculation:
The calculation puts the uncorrected formation energy at 0.393 eV/atom. As for the symmetry: Cmmm (65).

Cell: 4.915 4.915 3.785 Å, 90.00 90.00 105.55°
Positions (direct):
Fe  0.000  0.500  0.500
Se  0.000  0.000  0.000
Se  0.500  0.500  0.000
Tl  0.500  0.000  0.500


Computed, not measured: a relaxed TlFeSe2 crystal at the GGA-PBE level of DFT.

Values from the calculation:
The calculation puts the uncorrected formation energy at -0.173 eV/atom. As for the symmetry: I-42d (122).

Cell: 7.069 7.069 6.429 Å, 56.65 56.65 90.00°
Positions (direct):
Tl  0.000  0.000  0.000
Tl  0.750  0.250  0.500
Fe  0.500  0.500  0.000
Fe  0.250  0.750  0.500
Se  0.512  0.125  0.250
Se  0.238  0.625  0.250
Se  0.375  0.488  0.750
Se  0.875  0.762  0.750


Computed, not measured: a relaxed TlFeSe2 crystal at the GGA-PBE level of DFT.

Values from the calculation:
The calculation puts the uncorrected formation energy at -0.101 eV/atom. As for the symmetry: Cm (8).

Cell: 6.211 6.211 6.028 Å, 59.87 59.87 31.65°
Positions (direct):
Fe  0.300  0.300  0.016
Se  0.902  0.902  0.126
Se  0.732  0.732  0.836
Tl  0.566  0.566  0.522


Computed, not measured: a relaxed TlFe2Se crystal at the GGA-PBE level of DFT.

Values from the calculation:
The calculation puts the uncorrected formation energy at 0.511 eV/atom. As for the symmetry: Immm (71). The value obtained for the distance to the lowest polymorph of the same formula is 332 meV/atom.

Cell: 5.134 5.134 5.134 Å, 141.24 115.77 77.61°
Positions (direct):
Fe  0.034  0.034  0.000
Fe  0.466  0.466  0.000
Se  0.250  0.750  0.500
Tl  0.750  0.250  0.500


Computed, not measured: a relaxed TlFe2Se crystal at the GGA-PBE level of DFT.

Values from the calculation:
The calculation puts the uncorrected formation energy at 0.405 eV/atom. As for the symmetry: P4/mmm (123). The value obtained for the distance to the lowest polymorph of the same formula is 226 meV/atom.

Cell: 3.175 3.172 6.830 Å, 90.00 90.00 90.00°
Positions (direct):
Fe  0.000  0.000  0.063
Fe  0.000  0.000  0.437
Se  0.500  0.500  0.250
Tl  0.500  0.500  0.750


Computed, not measured: a relaxed Tl4FeSe crystal at the GGA-PBE level of DFT.

Values from the calculation:
The calculation puts the uncorrected formation energy at 0.623 eV/atom. As for the symmetry: F-43m (216).

Cell: 6.306 6.306 6.306 Å, 60.00 60.00 60.00°
Positions (direct):
Tl  0.876  0.375  0.375
Tl  0.375  0.375  0.876
Tl  0.375  0.876  0.375
Tl  0.375  0.375  0.375
Fe  0.750  0.750  0.750
Se  0.000  0.000  0.000


| no. | DOS(E_F) (states/eV/f.u.) | raw total energy (eV/f.u.) |
| --- | --- | --- |
| 1 | 2.31 | -17.22 |
| 2 | 4.21 | -20.50 |
| 3 | 3.62 | -16.23 |
| 4 | 3.07 | -18.49 |
| 5 | 1.76 | -18.20 |
| 6 | 3.91 | -20.73 |
| 7 | 4.34 | -21.16 |
| 8 | 5.58 | -17.67 |